(1)
Density functional theory data (GGA-PBE) for an optimized crystal structure of Na2Hg2RuO6.

Results
* E_form (uncorrected): -0.845 eV/atom
* Fermi-level density of states: 0.61 states/eV/atom
* symmetry: No. 12

Cell: 5.921 5.921 6.072 Å, 89.06 89.06 120.58°
Last column: magnetic moment on the atom in μB.
Sites, in units of the cell vectors:
Na1 0.336 0.664 0.500  0.00
Na2 0.664 0.336 0.500  0.00
Hg1 0.850 0.150 0.000  0.01
Hg2 0.150 0.850 0.000  0.01
Ru1 0.000 0.000 0.500  1.10
O1 0.735 0.735 0.667  0.14
O2 0.989 0.276 0.687  0.07
O3 0.265 0.265 0.333  0.14
O4 0.276 0.989 0.687  0.07
O5 0.011 0.724 0.313  0.07
O6 0.724 0.011 0.313  0.07

=====

(2)
Density functional theory data (GGA-PBE) for an optimized crystal structure of Sr2TmZnAu6.

Results
* Fermi-level density of states: 0.43 states/eV/atom
* symmetry: No. 2
* energy of formation from the pure elements: -0.546 eV per atom

Cell: 9.225 7.385 6.234 Å, 51.58 54.35 86.23°
Sites, in units of the cell vectors:
Sr1 0.288 0.801 0.537
Sr2 0.712 0.199 0.463
Tm1 0.500 0.500 0.000
Zn1 0.000 0.000 0.000
Au1 0.225 0.722 0.143
Au2 0.678 0.723 0.245
Au3 0.099 0.231 0.371
Au4 0.775 0.278 0.857
Au5 0.322 0.277 0.755
Au6 0.901 0.769 0.629

=====

(3)
Density functional theory data (GGA-PBE) for an optimized crystal structure of Li2Ga2Sb.

Results
* E_form (uncorrected): -0.125 eV/atom
* Fermi-level density of states: 0.40 states/eV/atom
* symmetry: No. 127

Cell: 7.539 7.539 3.406 Å, 90.00 90.00 90.00°
Sites, in units of the cell vectors:
Sb1 0.000 0.000 0.000
Sb2 0.500 0.500 0.000
Ga1 0.158 0.658 0.500
Ga2 0.658 0.842 0.500
Ga3 0.842 0.342 0.500
Ga4 0.342 0.158 0.500
Li1 0.359 0.859 0.000
Li2 0.859 0.641 0.000
Li3 0.641 0.141 0.000
Li4 0.141 0.359 0.000

=====

(4)
Density functional theory data (GGA-PBE) for an optimized crystal structure of BaBi3.

Results
* Fermi-level density of states: 0.89 states/eV/atom
* symmetry: No. 225
* energy of formation from the pure elements: -0.292 eV per atom

Cell: 5.869 5.869 5.869 Å, 60.00 60.00 60.00°
Sites, in units of the cell vectors:
Bi1 0.000 0.000 0.000
Bi2 0.750 0.750 0.750
Bi3 0.250 0.250 0.250
Ba1 0.500 0.500 0.500

=====

(5)
Density functional theory data (GGA-PBE) for an optimized crystal structure of Ac3In8Pd3.

Results
* Fermi-level density of states: 0.55 states/eV/atom
* symmetry: No. 12
* energy of formation from the pure elements: -0.532 eV per atom

Cell: 4.991 9.149 9.172 Å, 64.90 74.21 74.17°
Sites, in units of the cell vectors:
Ac1 0.285 0.716 0.714
Ac2 0.715 0.284 0.286
Ac3 0.000 0.000 0.000
In1 0.137 0.159 0.566
In2 0.863 0.841 0.434
In3 0.852 0.434 0.862
In4 0.148 0.566 0.138
In5 0.506 0.660 0.327
In6 0.494 0.340 0.673
In7 0.350 0.026 0.275
In8 0.650 0.974 0.725
Pd1 0.000 0.500 0.500
Pd2 0.653 0.693 0.001
Pd3 0.347 0.307 0.999

=====

(6)
Density functional theory data (GGA-PBE) for an optimized crystal structure of PrInAu4.

Results
* Fermi-level density of states: 0.24 states/eV/atom
* symmetry: No. 216
* energy of formation from the pure elements: -0.455 eV per atom

Cell: 5.677 5.677 5.677 Å, 60.00 60.00 60.00°
Sites, in units of the cell vectors:
Pr1 0.250 0.250 0.250
Au1 0.625 0.625 0.124
Au2 0.625 0.124 0.625
Au3 0.625 0.625 0.625
Au4 0.124 0.625 0.625
In1 0.000 0.000 0.000

=====

(7)
Density functional theory data (GGA-PBE) for an optimized crystal structure of NdHo2Ag.

Results
* Fermi-level density of states: 1.23 states/eV/atom
* symmetry: No. 160
* energy of formation from the pure elements: -0.001 eV per atom

Cell: 3.620 3.620 10.605 Å, 80.19 80.19 60.01°
Sites, in units of the cell vectors:
Nd1 0.500 0.500 0.500
Ho1 0.072 0.072 0.783
Ho2 0.261 0.261 0.216
Ag1 0.667 0.667 0.000

=====

(8)
Density functional theory data (GGA-PBE) for an optimized crystal structure of DyZrIrRh.

Results
* Fermi-level density of states: 0.63 states/eV/atom
* symmetry: No. 216
* energy of formation from the pure elements: -0.806 eV per atom

Cell: 4.755 4.755 4.755 Å, 60.00 60.00 60.00°
Sites, in units of the cell vectors:
Ir1 0.000 0.000 0.000
Rh1 0.500 0.500 0.500
Zr1 0.250 0.250 0.250
Dy1 0.750 0.750 0.750

=====

(9)
Density functional theory data (GGA-PBE) for an optimized crystal structure of KFeP2.

Results
* Fermi-level density of states: 1.26 states/eV/atom
* symmetry: No. 123
* energy of formation from the pure elements: 0.810 eV per atom

Cell: 4.329 4.321 4.008 Å, 90.00 90.00 90.00°
Last column: magnetic moment on the atom in μB.
Sites, in units of the cell vectors:
Fe1 0.500 0.000 0.500  3.18
K1 0.000 0.500 0.500  0.01
P1 0.000 0.000 0.000  0.03
P2 0.500 0.500 0.000  0.03

=====

(10)
Density functional theory data (GGA-PBE) for an optimized crystal structure of ScInSi3.

Results
* E_form (uncorrected): 0.734 eV/atom
* Fermi-level density of states: 0.50 states/eV/atom
* symmetry: No. 221

Cell: 5.067 5.067 5.067 Å, 90.00 90.00 90.00°
Sites, in units of the cell vectors:
Sc1 0.000 0.000 0.000
Si1 0.000 0.500 0.000
Si2 0.000 0.000 0.500
Si3 0.500 0.000 0.000
In1 0.500 0.500 0.500

=====

(11)
Density functional theory data (GGA-PBE) for an optimized crystal structure of BaLiCl2.

Results
* E_form (uncorrected): -1.661 eV/atom
* Fermi-level density of states: 0.44 states/eV/atom
* symmetry: No. 8

Cell: 6.371 6.371 4.384 Å, 91.19 91.19 39.74°
Last column: magnetic moment on the atom in μB.
Sites, in units of the cell vectors:
Ba1 0.721 0.721 0.879  0.18
Cl1 0.004 0.004 0.958  0.02
Cl2 0.293 0.293 0.388  0.01
Li1 0.482 0.482 0.275  0.06

=====

(12)
Density functional theory data (GGA-PBE) for an optimized crystal structure of NdZn2Ga.

Results
* Fermi-level density of states: 0.89 states/eV/atom
* symmetry: No. 166
* energy of formation from the pure elements: 0.283 eV per atom

Cell: 3.171 3.171 10.575 Å, 81.38 81.38 60.00°
Sites, in units of the cell vectors:
Zn1 0.098 0.098 0.706
Zn2 0.902 0.902 0.294
Nd1 0.000 0.000 0.000
Ga1 0.500 0.500 0.500

=====

(13)
Density functional theory data (GGA-PBE) for an optimized crystal structure of NdErTeSe2.

Results
* E_form (uncorrected): -1.346 eV/atom
* Fermi-level density of states: 0.09 states/eV/atom
* symmetry: No. 107

Cell: 4.667 4.667 7.841 Å, 107.31 107.31 90.00°
Sites, in units of the cell vectors:
Nd1 0.134 0.134 0.268
Er1 0.856 0.856 0.711
Te1 0.502 0.502 0.005
Se1 0.754 0.254 0.508
Se2 0.254 0.754 0.508

=====

(14)
Density functional theory data (GGA-PBE) for an optimized crystal structure of Dy6OsPt3.

Results
* Fermi-level density of states: 0.68 states/eV/atom
* symmetry: No. 58
* energy of formation from the pure elements: -0.744 eV per atom

Cell: 4.843 8.246 12.037 Å, 90.00 90.00 90.00°
Sites, in units of the cell vectors:
Dy1 0.500 0.151 0.909
Dy2 0.500 0.176 0.575
Dy3 0.500 0.500 0.245
Dy4 0.500 0.500 0.755
Dy5 0.500 0.824 0.425
Dy6 0.500 0.849 0.091
Dy7 0.000 0.349 0.409
Dy8 0.000 0.324 0.075
Dy9 0.000 0.000 0.745
Dy10 0.000 0.000 0.255
Dy11 0.000 0.676 0.925
Dy12 0.000 0.651 0.591
Os1 0.500 0.500 0.500
Os2 0.000 0.000 0.000
Pt1 0.500 0.833 0.671
Pt2 0.500 0.500 0.000
Pt3 0.500 0.167 0.329
Pt4 0.000 0.667 0.171
Pt5 0.000 0.000 0.500
Pt6 0.000 0.333 0.829

=====

(15)
Density functional theory data (GGA-PBE) for an optimized crystal structure of Rb3Ho3NbSe8.

Results
* E_form (uncorrected): -1.501 eV/atom
* Fermi-level density of states: 0.32 states/eV/atom
* symmetry: No. 12

Cell: 8.167 8.169 9.448 Å, 115.64 90.01 120.00°
Last column: magnetic moment on the atom in μB.
Sites, in units of the cell vectors:
Rb1 0.000 0.000 0.000  0.00
Rb2 0.000 0.500 0.000  0.00
Rb3 0.500 0.500 0.000  0.00
Ho1 0.500 0.000 0.500  0.02
Ho2 0.500 0.500 0.500  0.02
Ho3 0.000 0.500 0.500  0.02
Nb1 0.000 0.000 0.500  0.84
Se1 0.268 0.536 0.304  0.00
Se2 0.732 0.464 0.696  0.00
Se3 0.780 0.561 0.313  -0.01
Se4 0.220 0.439 0.687  -0.01
Se5 0.781 0.032 0.313  -0.01
Se6 0.219 0.968 0.687  -0.01
Se7 0.252 0.032 0.313  -0.01
Se8 0.748 0.968 0.687  -0.01

=====

(16)
Density functional theory data (GGA-PBE) for an optimized crystal structure of BaTl2Rh.

Results
* Fermi-level density of states: 0.72 states/eV/atom
* symmetry: No. 65
* energy of formation from the pure elements: -0.156 eV per atom

Cell: 4.426 5.561 5.570 Å, 65.38 90.00 90.00°
Sites, in units of the cell vectors:
Ba1 0.500 0.000 0.500
Tl1 0.000 0.324 0.824
Tl2 0.000 0.676 0.176
Rh1 0.500 0.500 0.000

=====

(17)
Density functional theory data (GGA-PBE) for an optimized crystal structure of Ba2TmHgTe5.

Results
* E_form (uncorrected): -1.174 eV/atom
* Fermi-level density of states: 0.56 states/eV/atom
* symmetry: No. 36

Cell: 4.556 10.544 14.075 Å, 90.00 90.00 102.48°
Sites, in units of the cell vectors:
Ba1 0.870 0.740 0.819
Ba2 0.120 0.240 0.693
Ba3 0.130 0.260 0.319
Ba4 0.880 0.760 0.193
Tm1 0.792 0.584 0.515
Tm2 0.208 0.416 0.015
Hg1 0.548 0.095 0.940
Hg2 0.452 0.905 0.440
Te1 0.354 0.707 0.009
Te2 0.695 0.391 0.867
Te3 0.495 0.990 0.760
Te4 0.293 0.586 0.661
Te5 0.941 0.882 0.560
Te6 0.646 0.293 0.509
Te7 0.305 0.609 0.367
Te8 0.505 0.010 0.260
Te9 0.707 0.414 0.161
Te10 0.059 0.118 0.060

=====

(18)
Density functional theory data (GGA-PBE) for an optimized crystal structure of NiSb2TeOs.

Results
* E_form (uncorrected): 1.080 eV/atom
* Fermi-level density of states: 1.16 states/eV/atom
* symmetry: No. 123

Cell: 4.794 4.794 4.922 Å, 90.00 90.00 90.00°
Last column: magnetic moment on the atom in μB.
Sites, in units of the cell vectors:
Sb1 0.000 0.500 0.000  0.00
Sb2 0.500 0.000 0.000  0.00
Te1 0.000 0.000 0.500  0.00
Os1 0.500 0.500 0.500  0.05
Ni1 0.000 0.000 0.000  0.00

=====

(19)
Density functional theory data (GGA-PBE) for an optimized crystal structure of Mn2CrSnC.

Results
* Fermi-level density of states: 0.86 states/eV/atom
* symmetry: No. 123
* energy of formation from the pure elements: 0.015 eV per atom

Cell: 3.899 3.899 3.979 Å, 90.00 90.00 90.00°
Last column: magnetic moment on the atom in μB.
Sites, in units of the cell vectors:
Cr1 0.000 0.000 0.500  1.02
C1 0.000 0.000 0.000  -0.09
Mn1 0.000 0.500 0.000  1.37
Mn2 0.500 0.000 0.000  1.37
Sn1 0.500 0.500 0.500  -0.09

=====

(20)
Density functional theory data (GGA-PBE) for an optimized crystal structure of Rb2AsO4.

Results
* E_form (uncorrected): -1.170 eV/atom
* Fermi-level density of states: 0.26 states/eV/atom
* symmetry: No. 139

Cell: 3.989 3.989 7.608 Å, 74.80 74.80 90.00°
Last column: magnetic moment on the atom in μB.
Sites, in units of the cell vectors:
As1 0.000 0.000 0.000  -0.03
O1 0.876 0.876 0.248  0.17
O2 0.124 0.124 0.752  0.17
O3 0.000 0.500 0.000  0.27
O4 0.500 0.000 0.000  0.27
Rb1 0.654 0.654 0.693  0.00
Rb2 0.346 0.346 0.307  0.00